## Pm2Nd3HoTe6 (PBE)

Data for crystalline Pm2Nd3HoTe6 at its relaxed geometry.

## Properties
Total energy ... -5.3262 eV per atom
ΔE_f (raw) ... -1390 meV/atom
Magnetic moment ... 0.00 μB per cell
Space group ... No. 12

Unit cell a=9.977 b=9.977 c=8.982 alpha=102.96 beta=102.96 gamma=25.66
Fractional positions:
1 Pm 0.169 0.169 0.336
2 Pm 0.831 0.831 0.664
3 Nd 0.171 0.171 0.834
4 Nd 0.500 0.500 0.500
5 Nd 0.829 0.829 0.166
6 Ho 0.500 0.500 0.000
7 Te 0.000 0.000 0.240
8 Te 0.000 0.000 0.760
9 Te 0.334 0.334 0.419
10 Te 0.339 0.339 0.918
11 Te 0.661 0.661 0.082
12 Te 0.666 0.666 0.581